Entry 1:
An optimized crystal structure of Mn4TeP, computed with PBE-GGA.

Cell: 4.984 4.984 4.984 Å, 60.00 60.00 60.00°
Site moments in Bohr magnetons follow the coordinates.
Atoms (fractional coordinates):
Mn 0.624 0.624 0.127  2.37
Mn 0.624 0.127 0.624  2.37
Mn 0.624 0.624 0.624  2.37
Mn 0.127 0.624 0.624  2.37
Te 0.000 0.000 0.000  -0.09
P 0.250 0.250 0.250  -0.10

Calculated values
Space-group type   F-43m, No. 216
Formation energy (no corrections)   475 meV/atom
E   -7.064 eV per atom
Fermi-level density of states   4.56 states/eV per cell

Entry 2:
An optimized crystal structure of MnTeP, computed with PBE-GGA.

Cell: 4.532 4.532 4.532 Å, 60.00 60.00 60.00°
Site moments in Bohr magnetons follow the coordinates.
Atoms (fractional coordinates):
Mn 0.500 0.500 0.500  3.85
Te 0.000 0.000 0.000  -0.05
P 0.250 0.250 0.250  -0.09

Calculated values
Space-group type   F-43m, No. 216
Formation energy (no corrections)   564 meV/atom
E   -5.343 eV per atom
Fermi-level density of states   2.75 states/eV per cell

Entry 3:
An optimized crystal structure of Mn2TeP2, computed with PBE-GGA.

Cell: 3.540 3.540 6.434 Å, 74.03 74.03 90.00°
Site moments in Bohr magnetons follow the coordinates.
Atoms (fractional coordinates):
P 0.750 0.250 0.500  -0.05
P 0.250 0.750 0.500  -0.05
Te 0.000 0.000 0.000  0.06
Mn 0.370 0.370 0.261  0.88
Mn 0.630 0.630 0.739  0.88

Calculated values
Space-group type   I4/mmm, No. 139
Formation energy (no corrections)   -60 meV/atom
E   -6.520 eV per atom
Fermi-level density of states   3.06 states/eV per cell

Entry 4:
An optimized crystal structure of MnTeP3, computed with PBE-GGA.

Cell: 4.972 4.972 4.972 Å, 90.00 90.00 90.00°
Site moments in Bohr magnetons follow the coordinates.
Atoms (fractional coordinates):
P 0.000 0.500 0.000  -0.02
P 0.000 0.000 0.500  -0.01
P 0.500 0.000 0.000  0.01
Te 0.000 0.000 0.000  0.02
Mn 0.500 0.500 0.500  -0.29

Calculated values
Space-group type   Pm-3m, No. 221
Formation energy (no corrections)   1957 meV/atom
E   -3.751 eV per atom
Fermi-level density of states   7.64 states/eV per cell